The following is a GGA-PBE calculation of Tm2ThRh9 after structural relaxation, from the Alexandria database.

Summary:
- Density of states at the Fermi level: 9.4 states/eV/f.u.
- Calculated volume: 210.1 Å³/cell
- E: -7.51 eV/atom
- Crystal system: trigonal

POSCAR file:
```
Tm2ThRh9
1.0
2.629 1.518 8.779
-2.629 1.518 8.779
0.000 -3.035 8.779
Tm Th Rh
2 1 9
direct
0.140 0.140 0.140
0.860 0.860 0.860
0.000 0.000 0.000
0.083 0.585 0.585
0.333 0.333 0.333
0.415 0.415 0.917
0.415 0.917 0.415
0.500 0.500 0.500
0.585 0.083 0.585
0.585 0.585 0.083
0.667 0.667 0.667
0.917 0.415 0.415
```



The following is a GGA-PBE calculation of TmThRh2 after structural relaxation, from the Alexandria database.

Summary:
- Density of states at the Fermi level: 2.8 states/eV/f.u.
- Calculated volume: 91.5 Å³/cell
- E: -7.45 eV/atom
- Crystal system: trigonal

POSCAR file:
```
TmThRh2
1.0
2.019 1.165 6.484
-2.019 1.165 6.484
0.000 -2.331 6.484
Tm Th Rh
1 1 2
direct
0.000 0.000 0.000
0.500 0.500 0.500
0.251 0.251 0.251
0.749 0.749 0.749
```



The following is a GGA-PBE calculation of Tm2Th2Rh15 after structural relaxation, from the Alexandria database.

Summary:
- Density of states at the Fermi level: 22.7 states/eV/f.u.
- Calculated volume: 325.0 Å³/cell
- E: -7.51 eV/atom
- Crystal system: trigonal

POSCAR file:
```
Tm2Th2Rh15
1.0
4.543 2.623 4.547
-4.543 2.623 4.547
0.000 -5.245 4.547
Tm Th Rh
2 2 15
direct
0.106 0.106 0.106
0.894 0.894 0.894
0.357 0.357 0.357
0.643 0.643 0.643
0.000 0.000 0.500
0.000 0.311 0.689
0.000 0.500 0.000
0.000 0.689 0.311
0.161 0.652 0.652
0.311 0.000 0.689
0.311 0.689 0.000
0.348 0.348 0.839
0.348 0.839 0.348
0.500 0.000 0.000
0.652 0.161 0.652
0.652 0.652 0.161
0.689 0.000 0.311
0.689 0.311 0.000
0.839 0.348 0.348
```



The following is a GGA-PBE calculation of TmTh2Rh after structural relaxation, from the Alexandria database.

Summary:
- Relative energy among the computed polymorphs: 160 meV per atom
- Density of states at the Fermi level: 5.9 states/eV/f.u.
- Calculated volume: 108.6 Å³/cell
- E: -6.97 eV/atom
- Crystal system: tetragonal

POSCAR file:
```
TmTh2Rh
1.0
3.680 0.000 0.000
0.000 3.680 0.000
0.000 0.000 8.019
Tm Th Rh
1 2 1
direct
0.000 0.000 0.000
0.500 0.500 0.296
0.500 0.500 0.704
0.000 0.000 0.500
```



The following is a GGA-PBE calculation of TmTh2Rh6 after structural relaxation, from the Alexandria database.

Summary:
- Density of states at the Fermi level: 5.9 states/eV/f.u.
- Calculated volume: 189.0 Å³/cell
- E: -7.53 eV/atom
- Crystal system: orthorhombic

POSCAR file:
```
TmTh2Rh6
1.0
-1.985 4.038 5.895
1.985 -4.038 5.895
1.985 4.038 -5.895
Tm Th Rh
1 2 6
direct
0.000 0.000 0.000
0.333 0.333 0.000
0.667 0.667 0.000
0.087 0.835 0.252
0.254 0.500 0.754
0.417 0.165 0.252
0.583 0.835 0.748
0.746 0.500 0.246
0.913 0.165 0.748
```



The following is a GGA-PBE calculation of TmTh2Rh after structural relaxation, from the Alexandria database.

Summary:
- Relative energy among the computed polymorphs: 2 meV per atom
- Density of states at the Fermi level: 4.5 states/eV/f.u.
- Calculated volume: 442.7 Å³/cell
- E: -7.13 eV/atom
- Crystal system: orthorhombic

POSCAR file:
```
TmTh2Rh
1.0
7.075 0.000 0.000
0.000 10.100 0.000
0.000 0.000 6.195
Tm Th Rh
4 8 4
direct
0.041 0.250 0.157
0.459 0.750 0.657
0.541 0.250 0.343
0.959 0.750 0.843
0.179 0.059 0.657
0.179 0.441 0.657
0.321 0.559 0.157
0.321 0.941 0.157
0.679 0.059 0.843
0.679 0.441 0.843
0.821 0.559 0.343
0.821 0.941 0.343
0.116 0.750 0.395
0.384 0.250 0.895
0.616 0.750 0.105
0.884 0.250 0.605
```



The following is a GGA-PBE calculation of Tm5ThRh4 after structural relaxation, from the Alexandria database.

Summary:
- Density of states at the Fermi level: 6.2 states/eV/f.u.
- Calculated volume: 251.3 Å³/cell
- E: -6.64 eV/atom
- Crystal system: monoclinic

POSCAR file:
```
Tm5ThRh4
1.0
8.946 -2.083 0.000
8.946 2.083 0.000
-3.056 0.000 6.744
Tm Th Rh
5 1 4
direct
0.000 0.000 0.000
0.333 0.333 0.090
0.334 0.334 0.579
0.666 0.666 0.421
0.667 0.667 0.910
0.000 0.000 0.500
0.197 0.197 0.696
0.500 0.500 0.239
0.500 0.500 0.761
0.803 0.803 0.304
```



The following is a GGA-PBE calculation of TmTh2Rh after structural relaxation, from the Alexandria database.

Summary:
- Relative energy among the computed polymorphs: 141 meV per atom
- Density of states at the Fermi level: 3.9 states/eV/f.u.
- Calculated volume: 116.5 Å³/cell
- E: -6.99 eV/atom
- Crystal system: trigonal

POSCAR file:
```
TmTh2Rh
1.0
1.908 1.101 9.239
-1.908 1.101 9.239
0.000 -2.203 9.239
Tm Th Rh
1 2 1
direct
0.000 0.000 0.000
0.232 0.232 0.232
0.768 0.768 0.768
0.500 0.500 0.500
```